No. 1
The following is a DFT calculation (PBE) of Ho4Sn8Rh after structural relaxation.

Summary:
- calculated density (g/cm3) = 8.65
- E_form (eV/f.u.) = -7.48
- crystal system = orthorhombic
- size of the total moment (μB/atom) = 0.00
- density of states at the Fermi level (states/eV/f.u.) = 5.60

Lattice parameters (Å, degrees): 4.4055 4.4370 16.8236 90.00 90.00 90.00
Closest atoms and distances in Å follow each position.
Positions (direct):
Sn  0.0000  0.5000  0.2293  2 Rh 2.63
Sn  0.5000  0.5000  0.7555  4 Sn 3.13, 4 Ho 3.29-3.32
Sn  0.5000  0.5000  0.0548  2 Sn 3.03, 4 Ho 3.19
Sn  0.0000  0.5000  0.9308  2 Sn 3.03, 4 Ho 3.17
Sn  0.5000  0.0000  0.2284  2 Rh 2.62
Sn  0.0000  0.0000  0.4645  1 Rh 2.55
Sn  0.5000  0.0000  0.5814  2 Sn 2.95, 4 Ho 3.16
Sn  0.0000  0.0000  0.7529  4 Sn 3.13, 4 Ho 3.30-3.31
Rh  0.0000  0.0000  0.3128  5 Sn 2.55-2.63
Ho  0.0000  0.0000  0.0923  10 Sn 3.18-3.51
Ho  0.5000  0.5000  0.3929  8 Sn 3.35-3.55, 4 Rh 3.40
Ho  0.0000  0.5000  0.6079  10 Sn 3.16-3.32
Ho  0.5000  0.0000  0.8996  10 Sn 3.17-3.43

---

No. 2
The following is a DFT calculation (PBE) of Sr2HoSn3Rh4 after structural relaxation.

Summary:
- calculated density (g/cm3) = 7.93
- E_form (eV/f.u.) = -6.94
- crystal system = tetragonal
- size of the total moment (μB/atom) = 0.00
- density of states at the Fermi level (states/eV/f.u.) = 5.15

Lattice parameters (Å, degrees): 4.5095 4.5095 11.4143 90.00 90.00 90.00
Closest atoms and distances in Å follow each position.
Positions (direct):
Sn  0.0000  0.5000  0.1225  5 Rh 2.65-2.70
Sn  0.5000  0.0000  0.8775  5 Rh 2.65-2.70
Sn  0.0000  0.0000  0.5000  4 Rh 2.77
Ho  0.5000  0.5000  0.5000  4 Rh 2.77
Rh  0.0000  0.0000  0.0000  4 Sn 2.65
Rh  0.5000  0.0000  0.6413  3 Sn 2.70-2.77, 2 Ho 2.77
Rh  0.5000  0.5000  0.0000  4 Sn 2.65
Rh  0.0000  0.5000  0.3587  3 Sn 2.70-2.77, 2 Ho 2.77
Sr  0.0000  0.5000  0.7663  6 Sn 3.43-3.78, 8 Rh 3.49, 2 Ho 3.78
Sr  0.5000  0.0000  0.2337  6 Sn 3.43-3.78, 8 Rh 3.49, 2 Ho 3.78

---

No. 3
The following is a DFT calculation (PBE) of TbHoSnRh after structural relaxation.

Summary:
- calculated density (g/cm3) = 9.66
- E_form (eV/f.u.) = -2.63
- crystal system = cubic
- size of the total moment (μB/atom) = 0.00
- density of states at the Fermi level (states/eV/f.u.) = 2.32

Lattice parameters (Å, degrees): 5.1003 5.1003 5.1003 60.00 60.00 60.00
Closest atoms and distances in Å follow each position.
Positions (direct):
Rh  0.7500  0.7500  0.7500  4 Tb 3.12, 4 Ho 3.12
Sn  0.2500  0.2500  0.2500  4 Tb 3.12, 4 Ho 3.12
Ho  0.0000  0.0000  0.0000  4 Sn 3.12, 4 Rh 3.12
Tb  0.5000  0.5000  0.5000  4 Rh 3.12, 4 Sn 3.12

---

No. 4
The following is a DFT calculation (PBE) of HoTm2SnRh4 after structural relaxation.

Summary:
- calculated density (g/cm3) = 11.43
- E_form (eV/f.u.) = -6.99
- crystal system = trigonal
- size of the total moment (μB/atom) = 0.00
- density of states at the Fermi level (states/eV/f.u.) = 6.53

Lattice parameters (Å, degrees): 4.7314 4.7314 8.2083 73.25 73.25 60.00
Closest atoms and distances in Å follow each position.
Positions (direct):
Rh  0.3768  0.3768  0.8697  1 Sn 2.86, 3 Ho 2.91, 4 Tm 2.91-3.03
Rh  0.6232  0.6232  0.1303  1 Sn 2.86, 3 Ho 2.91, 4 Tm 2.91-3.03
Rh  0.8753  0.8753  0.3740  4 Tm 2.82-2.87, 1 Ho 2.90, 3 Sn 2.90
Rh  0.1247  0.1247  0.6260  4 Tm 2.82-2.87, 1 Ho 2.90, 3 Sn 2.90
Tm  0.2462  0.2462  0.2614  8 Rh 2.82-3.03
Tm  0.7538  0.7538  0.7386  8 Rh 2.82-3.03
Sn  0.5000  0.5000  0.5000  8 Rh 2.86-2.90
Ho  0.0000  0.0000  0.0000  8 Rh 2.90-2.91

---

No. 5
The following is a DFT calculation (PBE) of YHoSnRh after structural relaxation.

Summary:
- calculated density (g/cm3) = 8.45
- E_form (eV/f.u.) = -2.68
- crystal system = cubic
- size of the total moment (μB/atom) = 0.00
- density of states at the Fermi level (states/eV/f.u.) = 2.28

Lattice parameters (Å, degrees): 5.0938 5.0938 5.0938 60.00 60.00 60.00
Closest atoms and distances in Å follow each position.
Positions (direct):
Ho  0.5000  0.5000  0.5000  4 Sn 3.12, 4 Rh 3.12
Y  0.0000  0.0000  0.0000  4 Sn 3.12, 4 Rh 3.12
Sn  0.7500  0.7500  0.7500  4 Ho 3.12, 4 Y 3.12
Rh  0.2500  0.2500  0.2500  4 Ho 3.12, 4 Y 3.12

---

No. 6
The following is a DFT calculation (PBE) of Ho2ZnSn2Rh5 after structural relaxation.

Summary:
- calculated density (g/cm3) = 10.29
- E_form (eV/f.u.) = -5.35
- crystal system = tetragonal
- size of the total moment (μB/atom) = 0.00
- density of states at the Fermi level (states/eV/f.u.) = 2.88

Lattice parameters (Å, degrees): 3.6461 10.0768 10.0768 90.00 90.00 90.00
Closest atoms and distances in Å follow each position.
Positions (direct):
Sn  0.0000  0.3679  0.1321  6 Rh 2.62-2.63, 1 Ho 2.85
Sn  0.0000  0.6321  0.8679  6 Rh 2.62-2.63, 1 Ho 2.85
Sn  0.0000  0.1321  0.6321  6 Rh 2.62-2.63, 1 Ho 2.85
Sn  0.0000  0.8679  0.3679  6 Rh 2.62-2.63, 1 Ho 2.85
Zn  0.0000  0.0000  0.0000  8 Rh 2.74
Zn  0.0000  0.5000  0.5000  8 Rh 2.74
Ho  0.0000  0.8320  0.6680  3 Sn 2.85-3.05, 2 Rh 3.01
Ho  0.0000  0.6680  0.1680  3 Sn 2.85-3.05, 2 Rh 3.01
Ho  0.0000  0.3320  0.8320  3 Sn 2.85-3.05, 2 Rh 3.01
Ho  0.0000  0.1680  0.3320  3 Sn 2.85-3.05, 2 Rh 3.01
Rh  0.5000  0.3048  0.5565  2 Sn 2.63, 2 Zn 2.74, 2 Rh 2.90
Rh  0.5000  0.8048  0.9435  2 Sn 2.63, 2 Zn 2.74, 2 Rh 2.90
Rh  0.5000  0.9435  0.1952  2 Sn 2.63, 2 Zn 2.74, 2 Rh 2.90
Rh  0.5000  0.0000  0.5000  4 Sn 2.62
Rh  0.5000  0.1952  0.0565  2 Sn 2.63, 2 Zn 2.74, 2 Rh 2.90
Rh  0.5000  0.4435  0.3048  2 Sn 2.63, 2 Zn 2.74, 2 Rh 2.90
Rh  0.5000  0.5000  0.0000  4 Sn 2.62
Rh  0.5000  0.5565  0.6952  2 Sn 2.63, 2 Zn 2.74, 2 Rh 2.90
Rh  0.5000  0.6952  0.4435  2 Sn 2.63, 2 Zn 2.74, 2 Rh 2.90
Rh  0.5000  0.0565  0.8048  2 Sn 2.63, 2 Zn 2.74, 2 Rh 2.90

---

No. 7
The following is a DFT calculation (PBE) of HoZnSnRh after structural relaxation.

Summary:
- calculated density (g/cm3) = 9.89
- E_form (eV/f.u.) = -2.13
- crystal system = cubic
- size of the total moment (μB/atom) = 0.00
- density of states at the Fermi level (states/eV/f.u.) = 2.51

Lattice parameters (Å, degrees): 4.7521 4.7521 4.7521 60.00 60.00 60.00
Closest atoms and distances in Å follow each position.
Positions (direct):
Ho  0.7500  0.7500  0.7500  4 Rh 2.91, 4 Zn 2.91
Zn  0.5000  0.5000  0.5000  4 Ho 2.91, 4 Sn 2.91
Rh  0.0000  0.0000  0.0000  4 Ho 2.91, 4 Sn 2.91
Sn  0.2500  0.2500  0.2500  4 Zn 2.91, 4 Rh 2.91

---

No. 8
The following is a DFT calculation (PBE) of SrHo2Rh after structural relaxation.

Summary:
- calculated density (g/cm3) = 5.90
- E_form (eV/f.u.) = -1.06
- crystal system = trigonal
- size of the total moment (μB/atom) = 0.00
- density of states at the Fermi level (states/eV/f.u.) = 3.92
- ΔE to the lowest computed polymorph (meV per atom) = 88

Lattice parameters (Å, degrees): 3.9717 3.9717 10.9698 79.57 79.57 60.00
Closest atoms and distances in Å follow each position.
Positions (direct):
Ho  0.1207  0.1207  0.6379  3 Rh 2.73
Ho  0.8793  0.8793  0.3621  3 Rh 2.73
Rh  0.5000  0.5000  0.5000  6 Ho 2.73
Sr  0.0000  0.0000  0.0000  2 Ho 3.88, 6 Sr 3.97